Entry 1:
# GGA-PBE YMgRe2, optimized geometry
data_YMgRe2
_space_group_name_H-M_alt 'I m m 2'
_space_group_IT_number 44
_cell_length_a 3.375
_cell_length_b 4.856
_cell_length_c 9.621
_cell_angle_alpha 90.00
_cell_angle_beta 90.00
_cell_angle_gamma 90.00
loop_
_space_group_symop_operation_xyz
'x,y,z'
'-x,-y,z'
'-x,y,z'
'x,-y,z'
'x+1/2,y+1/2,z+1/2'
'-x+1/2,-y+1/2,z+1/2'
'-x+1/2,y+1/2,z+1/2'
'x+1/2,-y+1/2,z+1/2'
loop_
_atom_site_label
_atom_site_type_symbol
_atom_site_fract_x
_atom_site_fract_y
_atom_site_fract_z
_atom_site_occupancy
Y1 Y 0.000 0.000 0.000 1
Mg1 Mg 0.000 0.500 0.220 1
Re1 Re 0.000 0.000 0.462 1
Re2 Re 0.000 0.500 0.777 1
# calculated formation energy = 247 meV per atom

Entry 2:
# GGA-PBE Sn2GePbO, optimized geometry
data_Sn2GePbO
_space_group_name_H-M_alt 'P 4/m m m'
_space_group_IT_number 123
_space_group_name_Hall '-P 4 2'
_cell_length_a 6.474
_cell_length_b 6.474
_cell_length_c 3.780
_cell_angle_alpha 90.00
_cell_angle_beta 90.00
_cell_angle_gamma 90.00
loop_
_atom_site_label
_atom_site_type_symbol
_atom_site_fract_x
_atom_site_fract_y
_atom_site_fract_z
_atom_site_occupancy
Sn1 Sn 0.000 0.500 0.000 1
Ge1 Ge 0.000 0.000 0.000 1
Pb1 Pb 0.500 0.500 0.500 1
O1 O 0.000 0.000 0.500 1
# ΔE_f (raw) = 0.092 eV/atom

Entry 3:
# GGA-PBE EuGdAg, optimized geometry
data_EuGdAg
_space_group_name_H-M_alt 'I 4 m m'
_space_group_IT_number 107
_space_group_name_Hall 'I 4 -2'
_cell_length_a 3.727
_cell_length_b 3.727
_cell_length_c 13.028
_cell_angle_alpha 90.00
_cell_angle_beta 90.00
_cell_angle_gamma 90.00
loop_
_atom_site_label
_atom_site_type_symbol
_atom_site_fract_x
_atom_site_fract_y
_atom_site_fract_z
_atom_site_occupancy
Eu1 Eu 0.000 0.000 0.000 1
Gd1 Gd 0.000 0.000 0.281 1
Ag1 Ag 0.000 0.000 0.653 1
# calculated formation energy = -147 meV per atom

Entry 4:
# GGA-PBE ZrGaP2S, optimized geometry
data_ZrGaP2S
_space_group_name_H-M_alt 'P 4/m m m'
_space_group_IT_number 123
_space_group_name_Hall '-P 4 2'
_cell_length_a 5.077
_cell_length_b 5.077
_cell_length_c 4.992
_cell_angle_alpha 90.00
_cell_angle_beta 90.00
_cell_angle_gamma 90.00
loop_
_atom_site_label
_atom_site_type_symbol
_atom_site_fract_x
_atom_site_fract_y
_atom_site_fract_z
_atom_site_occupancy
Zr1 Zr 0.000 0.000 0.000 1
Ga1 Ga 0.500 0.500 0.500 1
P1 P 0.000 0.500 0.000 1
S1 S 0.000 0.000 0.500 1
# ΔE_f (raw) = 0.059 eV/atom
# energy relative to the lowest polymorph listed for this composition = 0.00 eV per formula unit

no.,magnetization (μB/cell),E (eV/f.u.)
1,0.00,-32.0
2,0.00,-20.8
3,0.12,-27.6
4,0.00,-26.2